VASP calculation (PBE with a Hubbard U) on a relaxed BaCu2NiF8 crystal.

Its density of states at the Fermi level is 15.21 states/eV/cell. As for the calculated total energy: -4.430 eV per atom.

The structure belongs to space group P-3 (No. 147); the cell edges are 5.2780, 5.2780 and 7.1257 Å and the angles 90.00°, 90.00° and 120.00°. Symmetry generates all atoms from Ba at (0.0000, 0.0000, 0.0000), Cu at (0.3333, 0.6667, 0.6803), Ni at (0.0000, 0.0000, 0.5000), F at (0.0297, 0.7134, 0.3320) and F at (0.3333, 0.6667, 0.9445).